UPaMo, optimized geometry, DFT PBE; uncorrected energy = -10.200 eV/atom; formation enthalpy at 0 K = 0.34 eV per atom; total magnetic moment = 0.88 μB/f.u.; energy above the most stable polymorph in this dataset = 275 meV per atom; DOS at the Fermi energy = 5.93 states/eV per cell
1.0
3.300 0.000 0.000
-1.650 2.858 0.000
0.000 0.000 6.590
U Pa Mo
1 1 1
Cartesian
0.000 0.000 0.000
1.650 0.953 2.208
0.000 1.905 4.461